Entry from Alexandria: a relaxed NdHgPd crystal (PBE).

- Crystal system: hexagonal
- Calculated total energy: -4.016 eV/atom
- ΔH_f (0 K): -595.5 meV/atom

abc: 4.7699 4.7699 3.6329
angles: 90.00 90.00 120.00
Fractional positions:
Nd 0.0000 0.0000 0.0000
Hg 0.3333 0.6667 0.5000
Pd 0.6667 0.3333 0.5000

Entry from Alexandria: a relaxed NdHg2Pd9 crystal (PBE).

- Crystal system: trigonal
- Calculated total energy: -4.589 eV/atom
- ΔH_f (0 K): -246.4 meV/atom

abc: 9.2760 9.2760 9.2760
angles: 33.73 33.73 33.73
Fractional positions:
Nd 0.0000 0.0000 0.0000
Hg 0.1411 0.1411 0.1411
Hg 0.8589 0.8589 0.8589
Pd 0.0813 0.5878 0.5878
Pd 0.3337 0.3337 0.3337
Pd 0.4122 0.4122 0.9187
Pd 0.4122 0.9187 0.4122
Pd 0.5000 0.5000 0.5000
Pd 0.5878 0.0813 0.5878
Pd 0.5878 0.5878 0.0813
Pd 0.6663 0.6663 0.6663
Pd 0.9187 0.4122 0.4122